[1]
# LiAgWSe2S | the Open Quantum Materials Database | PBE-GGA | optimized geometry
# M_tot, μB/atom: 0.005
# E_tot, eV per atom: -5.11
data_LiAgWSe2S
_symmetry_space_group_name_H-M 'C m c m'
_symmetry_Int_Tables_number 63
_symmetry_space_group_name_Hall '-C 2c 2'
_cell_length_a 3.453
_cell_length_b 14.461
_cell_length_c 9.322
_cell_angle_alpha 90.00
_cell_angle_beta 90.00
_cell_angle_gamma 90.00
loop_
_atom_site_label
_atom_site_type_symbol
_atom_site_fract_x
_atom_site_fract_y
_atom_site_fract_z
Li1 Li 0.000 0.098 0.250
Ag1 Ag 0.000 0.225 0.750
W1 W 0.000 0.500 0.000
Se1 Se 0.000 0.137 0.501
S1 S 0.000 0.489 0.250

[2]
# LiZrAgSeS2 | the Open Quantum Materials Database | PBE-GGA | optimized geometry
# M_tot, μB/atom: 0.002
# E_tot, eV per atom: -5.15
data_LiZrAgSeS2
_symmetry_space_group_name_H-M 'C m c m'
_symmetry_Int_Tables_number 63
_symmetry_space_group_name_Hall '-C 2c 2'
_cell_length_a 3.738
_cell_length_b 12.692
_cell_length_c 10.403
_cell_angle_alpha 90.00
_cell_angle_beta 90.00
_cell_angle_gamma 90.00
loop_
_atom_site_label
_atom_site_type_symbol
_atom_site_fract_x
_atom_site_fract_y
_atom_site_fract_z
Li1 Li 0.000 0.243 0.250
Zr1 Zr 0.000 0.000 0.000
Ag1 Ag 0.000 0.452 0.750
Se1 Se 0.000 0.101 0.750
S1 S 0.000 0.363 0.544

[3]
# LiSiAgTeS2 | the Open Quantum Materials Database | PBE-GGA | optimized geometry
# E_tot, eV per atom: -3.88
data_LiSiAgTeS2
_symmetry_space_group_name_H-M 'C m c m'
_symmetry_Int_Tables_number 63
_symmetry_space_group_name_Hall '-C 2c 2'
_cell_length_a 3.315
_cell_length_b 14.019
_cell_length_c 10.800
_cell_angle_alpha 90.00
_cell_angle_beta 90.00
_cell_angle_gamma 90.00
loop_
_atom_site_label
_atom_site_type_symbol
_atom_site_fract_x
_atom_site_fract_y
_atom_site_fract_z
Li1 Li 0.000 0.216 0.250
Si1 Si 0.000 0.500 0.000
Ag1 Ag 0.000 0.126 0.750
Te1 Te 0.000 0.441 0.750
S1 S 0.000 0.117 0.527

[4]
# LiAgSnS3 | the Open Quantum Materials Database | PBE-GGA | optimized geometry
# E_tot, eV per atom: -3.97
data_LiAgSnS3
_symmetry_space_group_name_H-M 'C m c m'
_symmetry_Int_Tables_number 63
_symmetry_space_group_name_Hall '-C 2c 2'
_cell_length_a 3.758
_cell_length_b 13.365
_cell_length_c 10.119
_cell_angle_alpha 90.00
_cell_angle_beta 90.00
_cell_angle_gamma 90.00
loop_
_atom_site_label
_atom_site_type_symbol
_atom_site_fract_x
_atom_site_fract_y
_atom_site_fract_z
Li1 Li 0.000 0.158 0.250
Ag1 Ag 0.000 0.147 0.750
Sn1 Sn 0.000 0.500 0.000
S1 S 0.000 0.135 0.515
S2 S 0.000 0.450 0.750

[5]
# LiAgSnS3 | the Open Quantum Materials Database | PBE-GGA | optimized geometry
# E_tot, eV per atom: -4.03
data_LiAgSnS3
_symmetry_space_group_name_H-M 'P 1 21/m 1'
_symmetry_Int_Tables_number 11
_symmetry_space_group_name_Hall '-P 2yb'
_cell_length_a 8.292
_cell_length_b 3.751
_cell_length_c 8.327
_cell_angle_alpha 90.00
_cell_angle_beta 98.91
_cell_angle_gamma 90.00
loop_
_atom_site_label
_atom_site_type_symbol
_atom_site_fract_x
_atom_site_fract_y
_atom_site_fract_z
Li1 Li 0.105 0.250 0.112
Ag1 Ag 0.130 0.750 0.459
Sn1 Sn 0.354 0.250 0.829
S1 S 0.045 0.250 0.798
S2 S 0.338 0.750 0.059
S3 S 0.393 0.750 0.632

[6]
# LiAgSnS3 | the Open Quantum Materials Database | PBE-GGA | optimized geometry
# E_tot, eV per atom: -4.05
data_LiAgSnS3
_symmetry_space_group_name_H-M 'P n m a'
_symmetry_Int_Tables_number 62
_symmetry_space_group_name_Hall '-P 2ac 2n'
_cell_length_a 13.497
_cell_length_b 3.819
_cell_length_c 10.845
_cell_angle_alpha 90.00
_cell_angle_beta 90.00
_cell_angle_gamma 90.00
loop_
_atom_site_label
_atom_site_type_symbol
_atom_site_fract_x
_atom_site_fract_y
_atom_site_fract_z
Li1 Li 0.222 0.250 0.192
Ag1 Ag 0.077 0.750 0.958
Sn1 Sn 0.004 0.750 0.348
S1 S 0.106 0.750 0.740
S2 S 0.108 0.250 0.455
S3 S 0.124 0.750 0.170

[7]
# LiAgSnS3 | the Open Quantum Materials Database | PBE-GGA | optimized geometry
# E_tot, eV per atom: -4.04
data_LiAgSnS3
_symmetry_space_group_name_H-M 'P n m a'
_symmetry_Int_Tables_number 62
_symmetry_space_group_name_Hall '-P 2ac 2n'
_cell_length_a 13.887
_cell_length_b 3.772
_cell_length_c 9.426
_cell_angle_alpha 90.00
_cell_angle_beta 90.00
_cell_angle_gamma 90.00
loop_
_atom_site_label
_atom_site_type_symbol
_atom_site_fract_x
_atom_site_fract_y
_atom_site_fract_z
Li1 Li 0.103 0.250 0.026
Ag1 Ag 0.228 0.750 0.779
Sn1 Sn 0.029 0.750 0.331
S1 S 0.054 0.750 0.825
S2 S 0.109 0.250 0.486
S3 S 0.171 0.750 0.170

[8]
# LiAgSnS3 | the Open Quantum Materials Database | PBE-GGA | optimized geometry
# E_tot, eV per atom: -3.97
data_LiAgSnS3
_symmetry_space_group_name_H-M 'P n m a'
_symmetry_Int_Tables_number 62
_symmetry_space_group_name_Hall '-P 2ac 2n'
_cell_length_a 10.186
_cell_length_b 3.767
_cell_length_c 13.130
_cell_angle_alpha 90.00
_cell_angle_beta 90.00
_cell_angle_gamma 90.00
loop_
_atom_site_label
_atom_site_type_symbol
_atom_site_fract_x
_atom_site_fract_y
_atom_site_fract_z
Li1 Li 0.244 0.250 0.089
Ag1 Ag 0.244 0.250 0.392
Sn1 Sn 0.006 0.250 0.750
S1 S 0.009 0.250 0.387
S2 S 0.022 0.750 0.887
S3 S 0.244 0.750 0.200